Entry 1:
Density functional theory data (PBE-GGA) for a relaxed LiAl2Au7 crystal.

It has space group Cmmm (No. 65), with a = 7.5155 Å, b = 12.6735 Å, c = 4.5546 Å, α = 90.00°, β = 90.00° and γ = 90.00°. The inequivalent atoms are Li at (0.0000, 0.0000, 0.0000), Al at (0.0000, 0.2978, 0.5000), Au at (0.0000, 0.2102, 0.0000), Au at (0.0000, 0.5000, 0.5000) and Au at (0.1874, 0.1146, 0.5000).

The mass density comes out at 11.0 g/cm³. The density of states at the Fermi level comes out at 0.4249 states/eV/atom. For the calculated total energy, the calculation gives -3.427 eV per atom. Its formation energy from the elements is -186 kJ/mol of formula units.


Entry 2:
Density functional theory data (PBE-GGA) for a relaxed Li4AlAu5 crystal.

It has space group P4/mmm (No. 123), with a = 3.2218 Å, b = 3.2218 Å, c = 14.9005 Å, α = 90.00°, β = 90.00° and γ = 90.00°. The inequivalent atoms are Li at (0.0000, 0.0000, 0.0988), Li at (0.0000, 0.0000, 0.2945), Al at (0.0000, 0.0000, 0.5000), Au at (0.5000, 0.5000, 0.0000), Au at (0.5000, 0.5000, 0.1973) and Au at (0.5000, 0.5000, 0.3978).

The mass density comes out at 11.2 g/cm³. The density of states at the Fermi level comes out at 0.2317 states/eV/atom. For the calculated total energy, the calculation gives -3.299 eV per atom. Its formation energy from the elements is -502 kJ/mol of formula units.